[1]
# BaTb2Dy (PBE, optimized geometry)
data_BaTb2Dy
_cell_length_a 3.6118
_cell_length_b 3.6118
_cell_length_c 38.6220
_cell_angle_alpha 90.00
_cell_angle_beta 90.00
_cell_angle_gamma 120.00
_space_group_name_H-M_alt 'R -3 m'
_space_group_IT_number 166
_space_group_name_Hall '-R 3 2"'
loop_
_atom_site_label
_atom_site_fract_x
_atom_site_fract_y
_atom_site_fract_z
Ba1 0.0000 0.0000 0.0000
Tb1 0.0000 0.0000 0.0938
Dy1 0.0000 0.0000 0.5000
# VASP energy = -14.9 eV per formula unit
# ΔH_f (0 K) = 220 meV/atom
# Size of the total moment = 0.0 μB/cell

***

[2]
# CuRuCl2 (PBE, optimized geometry)
data_CuRuCl2
_cell_length_a 3.3446
_cell_length_b 3.3446
_cell_length_c 23.6955
_cell_angle_alpha 90.00
_cell_angle_beta 90.00
_cell_angle_gamma 120.00
_space_group_name_H-M_alt 'R 3 m'
_space_group_IT_number 160
_space_group_name_Hall 'R 3 -2"'
loop_
_atom_site_label
_atom_site_fract_x
_atom_site_fract_y
_atom_site_fract_z
Cu1 0.0000 0.0000 0.0000
Ru1 0.0000 0.0000 0.7422
Cl1 0.0000 0.0000 0.2754
Cl2 0.0000 0.0000 0.4663
# VASP energy = -16.9 eV per formula unit
# ΔE_f (raw) = 0.03 eV/atom
# Size of the total moment = 3.0 μB/cell

***

[3]
# InMoCl (PBE, optimized geometry)
data_InMoCl
_cell_length_a 2.997
_cell_length_b 5.405
_cell_length_c 16.640
_cell_angle_alpha 90.00
_cell_angle_beta 90.00
_cell_angle_gamma 90.00
_space_group_name_H-M_alt 'F m m 2'
_space_group_IT_number 42
_space_group_name_Hall 'F 2 -2'
loop_
_atom_site_label
_atom_site_fract_x
_atom_site_fract_y
_atom_site_fract_z
In1 0.000 0.000 0.000
Mo1 0.000 0.000 0.348
Cl1 0.000 0.000 0.734
# VASP energy = -14.8 eV per formula unit
# ΔE_f (raw) = 0.22 eV/atom
# Size of the total moment = 1.5 μB/cell

***

Repeat the first record exactly.
# BaTb2Dy (PBE, optimized geometry)
data_BaTb2Dy
_cell_length_a 3.6118
_cell_length_b 3.6118
_cell_length_c 38.6220
_cell_angle_alpha 90.00
_cell_angle_beta 90.00
_cell_angle_gamma 120.00
_space_group_name_H-M_alt 'R -3 m'
_space_group_IT_number 166
_space_group_name_Hall '-R 3 2"'
loop_
_atom_site_label
_atom_site_fract_x
_atom_site_fract_y
_atom_site_fract_z
Ba1 0.0000 0.0000 0.0000
Tb1 0.0000 0.0000 0.0938
Dy1 0.0000 0.0000 0.5000
# VASP energy = -14.9 eV per formula unit
# ΔH_f (0 K) = 220 meV/atom
# Size of the total moment = 0.0 μB/cell